Entry from the Alexandria database: a relaxed BaSrSb2 crystal (GGA-PBE).

Cell lengths 6.753, 6.753, 5.152 Å; angles 80.43, 80.43, 41.53 degrees
Sites, in units of the cell vectors:
Sb: 0.971 0.971 0.167
Sb: 0.782 0.782 0.587
Ba: 0.246 0.246 0.121
Sr: 0.501 0.501 0.625

Summary:
SG ... Cm (8)
Fermi-level density of states ... 0.700 states/eV/cell
Size of the total moment ... 0.00 μB per formula unit
Formation energy from raw total energies ... -0.898 eV/atom